An optimized crystal structure of BaBe2NiF8, computed with GGA+U.

a = 4.8920 Å, b = 4.8920 Å, c = 21.4592 Å
α = 90.00°, β = 90.00°, γ = 120.00°
Last column: nearest neighbours and their distance in Å.
Space group R-3 (No. 148, hexagonal axes)
Inequivalent atoms, fractional coordinates:
Ba  0.0000  0.0000  0.0000 x3  12 F 2.85-2.96
Be  0.0000  0.0000  0.2422 x6  4 F 1.56-1.58
Ni  0.0000  0.0000  0.5000 x3  6 F 2.03
F  0.0000  0.0000  0.3157 x6  1 Be 1.58
F  0.0176  0.6479  0.8896 x18  1 Be 1.56

Results
The total energy is -194.763 eV/cell.